# 1
VASP calculation (PBE) on Yb2CuGe4O12 after structural relaxation.

The structure belongs to space group P-1 (No. 2); the cell edges are 4.919, 7.272 and 8.052 Å and the angles 66.86°, 86.58° and 75.92°. The distinct sites, in fractional coordinates, are Yb at (0.050, 0.269, 0.452), Cu at (0.000, 0.500, 0.000), Ge at (0.413, 0.883, 0.799), Ge at (0.454, 0.673, 0.218), O at (0.225, 0.919, 0.608), O at (0.230, 0.566, 0.385), O at (0.246, 0.278, 0.183), O at (0.250, 0.509, 0.808), O at (0.251, 0.809, 0.010) and O at (0.412, 0.154, 0.720).

The formation energy without anion corrections is -3398 kJ/mol of formula units. The uncorrected energy is -6.3334 eV/atom.


# 2
VASP calculation (PBE) on ZnCuGe2O6 after structural relaxation.

The structure belongs to space group C2/c (No. 15); the cell edges are 10.247, 9.596 and 5.429 Å and the angles 90.00°, 111.36° and 90.00°. The distinct sites, in fractional coordinates, are Zn at (0.000, 0.233, 0.250), Cu at (0.000, 0.104, 0.750), Ge at (0.199, 0.411, 0.752), O at (0.114, 0.088, 0.124), O at (0.122, 0.253, 0.616) and O at (0.140, 0.451, 0.015).

The calculation puts the energy above the lowest structure with this stoichiometry at 2 meV per atom. The formation energy without anion corrections is -1280 kJ/mol of formula units. The uncorrected energy is -5.7621 eV/atom.


# 3
VASP calculation (PBE) on ZnCuGe2O6 after structural relaxation.

The structure belongs to space group C2/c (No. 15); the cell edges are 10.221, 9.244 and 5.468 Å and the angles 90.00°, 110.06° and 90.00°. The distinct sites, in fractional coordinates, are Zn at (0.000, 0.100, 0.250), Cu at (0.000, 0.245, 0.750), Ge at (0.198, 0.410, 0.238), O at (0.117, 0.088, 0.638), O at (0.119, 0.245, 0.106) and O at (0.137, 0.451, 0.498).

The calculation puts the energy above the lowest structure with this stoichiometry at 0 meV per atom. The formation energy without anion corrections is -1282 kJ/mol of formula units. The uncorrected energy is -5.7646 eV/atom.


# 4
VASP calculation (PBE) on ZrCuGeO2 after structural relaxation.

The structure belongs to space group P4/mmm (No. 123); the cell edges are 3.874, 3.874 and 4.652 Å and the angles 90.00°, 90.00° and 90.00°. The distinct sites, in fractional coordinates, are Zr at (0.000, 0.000, 0.000), Cu at (0.500, 0.500, 0.000), Ge at (0.500, 0.500, 0.500) and O at (0.000, 0.500, 0.500).

The formation energy without anion corrections is -186 kJ/mol of formula units. The uncorrected energy is -5.8211 eV/atom.


# 5
VASP calculation (PBE) on Cu2GeOs after structural relaxation.

The structure belongs to space group I-42d (No. 122); the cell edges are 3.564, 3.564 and 18.500 Å and the angles 90.00°, 90.00° and 90.00°. The distinct sites, in fractional coordinates, are Cu at (0.245, 0.250, 0.125), Ge at (0.000, 0.000, 0.500) and Os at (0.000, 0.000, 0.000).

The value obtained for the formation energy from the elements is 514.0 meV/atom. The uncorrected energy is -5.4958 eV/atom.


# 6
VASP calculation (PBE) on CuGeOs3 after structural relaxation.

The structure belongs to space group Pm-3m (No. 221); the cell edges are 4.461, 4.461 and 4.461 Å and the angles 90.00°, 90.00° and 90.00°. The distinct sites, in fractional coordinates, are Cu at (0.000, 0.000, 0.000), Ge at (0.500, 0.500, 0.500) and Os at (0.000, 0.000, 0.500).

The calculation puts the energy above the lowest structure with this stoichiometry at 163 meV per atom. The value obtained for the formation energy from the elements is 2108.5 meV/atom. The uncorrected energy is -6.3721 eV/atom.


# 7
VASP calculation (PBE) on CuGe3Os after structural relaxation.

The structure belongs to space group Pm-3m (No. 221); the cell edges are 4.795, 4.795 and 4.795 Å and the angles 90.00°, 90.00° and 90.00°. The distinct sites, in fractional coordinates, are Cu at (0.000, 0.000, 0.000), Ge at (0.000, 0.500, 0.500) and Os at (0.500, 0.500, 0.500).

The value obtained for the formation energy from the elements is 601.0 meV/atom. The uncorrected energy is -5.2346 eV/atom.


# 8
VASP calculation (PBE) on CuGe2Os after structural relaxation.

The structure belongs to space group R-3m (No. 166, hexagonal axes); the cell edges are 3.0180, 3.0180 and 25.3962 Å and the angles 90.00°, 90.00° and 120.00°. The distinct sites, in fractional coordinates, are Cu at (0.0000, 0.0000, 0.0000), Ge at (0.0000, 0.0000, 0.0931) and Os at (0.0000, 0.0000, 0.5000).

The calculation puts the energy above the lowest structure with this stoichiometry at 0 meV per atom. The value obtained for the formation energy from the elements is 190.0 meV/atom. The uncorrected energy is -5.9502 eV/atom.